First-principles (PBE) data for an optimized crystal structure of Hf3ScV, as listed in the Alexandria database.

- polymorph energy (0 for the lowest one) (meV per atom) = 901.6
- magnetic moment (μB/f.u.) = 3.12
- theoretical density (g cm⁻³) = 8.7
- total DFT energy (no corrections) (eV per atom) = -7.562
- V (Å³/f.u.) = 120.8
- crystal system = cubic
- ΔH_f (0 K) (kJ/mol of atoms) = 144.7

Lattice parameters (Å, degrees): 4.943 4.943 4.943 90.00 90.00 90.00
Space group Pm-3m (No. 221)
Symmetry-distinct sites (fractional):
Hf 0.000 0.000 0.500 x3
Sc 0.000 0.000 0.000 x1
V 0.500 0.500 0.500 x1